PmS: PBEsol geometry, SCAN.

Calculated values
**Total DFT energy (no corrections)**: -29.10 eV per atom
**Formation energy without anion corrections**: -2297 meV/atom

```
PmS
1.0
5.6260 0.0000 0.0000
0.0000 5.6260 0.0000
0.0000 0.0000 5.6260
Pm S
4 4
direct
0.0000 0.0000 0.0000
0.0000 0.5000 0.5000
0.5000 0.0000 0.5000
0.5000 0.5000 0.0000
0.0000 0.0000 0.5000
0.0000 0.5000 0.0000
0.5000 0.0000 0.0000
0.5000 0.5000 0.5000
```